Here is a relaxed structure of UAgSb from the Alexandria database. Energies are from GGA-PBE.

Values from the calculation:
energy relative to the elements, uncorrected: 53 meV/atom
E_tot: -6.0348 eV/atom

Lattice parameters (Å, degrees): 3.1205 5.0614 5.0614 120.00 90.00 90.00
Each line ends with the local moment (μB).
Fractional coordinates of all 3 atoms:
Sb  0.5004  0.6667  0.3333  -0.04
U  0.9999  0.0000  0.0000  2.81
Ag  0.4996  0.3333  0.6667  0.03

=====

Here is a relaxed structure of ZnRhI3 from the Alexandria database. Energies are from GGA-PBE.

Values from the calculation:
energy relative to the elements, uncorrected: 647 meV/atom
offset from the most stable computed form: 424 meV/atom
E_tot: -2.0079 eV/atom

Lattice parameters (Å, degrees): 5.5503 5.5503 5.5503 90.00 90.00 90.00
Each line ends with the local moment (μB).
Fractional coordinates of all 5 atoms:
I  0.0000  0.5000  0.0000  0.10
I  0.0000  0.0000  0.5000  0.07
I  0.5000  0.0000  0.0000  0.07
Zn  0.0000  0.0000  0.0000  -0.01
Rh  0.5000  0.5000  0.5000  1.65

=====

Here is a relaxed structure of NaSmInSe3 from the Alexandria database. Energies are from GGA-PBE.

Values from the calculation:
energy relative to the elements, uncorrected: -1188 meV/atom
E_tot: -4.3931 eV/atom

Lattice parameters (Å, degrees): 4.1208 8.4561 10.1442 96.62 90.00 90.00
Fractional coordinates of all 12 atoms:
Na  0.2500  0.1417  0.1459
Na  0.7500  0.8583  0.8541
Sm  0.2500  0.6300  0.1592
Sm  0.7500  0.3700  0.8408
In  0.2500  0.1364  0.5614
In  0.7500  0.8636  0.4386
Se  0.7500  0.8861  0.1708
Se  0.2500  0.1139  0.8292
Se  0.2500  0.6576  0.4540
Se  0.7500  0.3424  0.5460
Se  0.7500  0.3899  0.1342
Se  0.2500  0.6101  0.8658

=====

Here is a relaxed structure of BaLiAl from the Alexandria database. Energies are from GGA-PBE.

Values from the calculation:
formation enthalpy at 0 K: 0.22 eV per atom
offset from the most stable computed form: 302 meV/atom
E_tot: -2.3063 eV/atom

Lattice parameters (Å, degrees): 5.2369 5.2369 5.2369 60.00 60.00 60.00
Each line ends with the local moment (μB).
Fractional coordinates of all 3 atoms:
Al  0.0000  0.0000  0.0000  0.10
Ba  0.5000  0.5000  0.5000  0.14
Li  0.7500  0.7500  0.7500  0.05

=====

Here is a relaxed structure of Na2SrPd9 from the Alexandria database. Energies are from GGA-PBE.

Values from the calculation:
formation enthalpy at 0 K: -0.25 eV per atom
E_tot: -4.5062 eV/atom

Lattice parameters (Å, degrees): 5.4125 5.4125 9.4042 73.28 73.28 60.00
Fractional coordinates of all 12 atoms:
Na  0.8558  0.8558  0.4326
Na  0.1442  0.1442  0.5674
Sr  0.0000  0.0000  0.0000
Pd  0.6670  0.6670  0.9989
Pd  0.3330  0.3330  0.0011
Pd  0.5000  0.5000  0.5000
Pd  0.4140  0.4140  0.2544
Pd  0.9177  0.4140  0.2544
Pd  0.4140  0.9177  0.2544
Pd  0.5860  0.5860  0.7456
Pd  0.5860  0.0823  0.7456
Pd  0.0823  0.5860  0.7456

=====

Here is a relaxed structure of EuEr2Sb from the Alexandria database. Energies are from GGA-PBE.

Values from the calculation:
energy relative to the elements, uncorrected: -221 meV/atom
E_tot: -6.1019 eV/atom

Lattice parameters (Å, degrees): 5.4062 5.4062 5.4061 60.00 60.00 60.00
Each line ends with the local moment (μB).
Fractional coordinates of all 4 atoms:
Eu  0.0000  0.0000  0.0000  6.87
Sb  0.5000  0.5000  0.5000  -0.02
Er  0.2501  0.2501  0.2498  0.02
Er  0.7499  0.7499  0.7502  0.02

=====

Here is a relaxed structure of Sr2TlTc from the Alexandria database. Energies are from GGA-PBE.

Values from the calculation:
formation enthalpy at 0 K: 0.38 eV per atom
offset from the most stable computed form: 26 meV/atom
E_tot: -3.6476 eV/atom

Lattice parameters (Å, degrees): 3.7770 3.7770 8.8942 90.00 90.00 90.00
Each line ends with the local moment (μB).
Fractional coordinates of all 4 atoms:
Sr  0.0000  0.0000  0.9229  0.00
Sr  0.5000  0.5000  0.3253  -0.01
Tc  0.0000  0.0000  0.5729  0.20
Tl  0.5000  0.5000  0.6789  -0.01

=====

Here is a relaxed structure of MgTc2P from the Alexandria database. Energies are from GGA-PBE.

Values from the calculation:
formation enthalpy at 0 K: 0.09 eV per atom
offset from the most stable computed form: 417 meV/atom
E_tot: -6.8483 eV/atom

Lattice parameters (Å, degrees): 4.2601 4.2601 4.2601 60.00 60.00 60.00
Fractional coordinates of all 4 atoms:
P  0.5000  0.5000  0.5000
Mg  0.0000  0.0000  0.0000
Tc  0.2500  0.2500  0.2500
Tc  0.7500  0.7500  0.7500

=====

Which spin magnetization belongs to each record? In order, 3.1 2.1 0.0 1.2 0.0 7.0 0.2 0.0 μB/cell.